The following is a GGA-PBE calculation of a geometry-optimized LaTbCo2 structure, from Alexandria via LeMat-Bulk.

* formation energy: -110 meV/atom
* VASP energy: -48.42 eV for the cell shown
* energy relative to the lowest polymorph listed for this composition: 0 meV/atom

Unit cell a=3.905 b=5.755 c=7.627 alpha=90.00 beta=90.00 gamma=90.00
Sites, in units of the cell vectors:
La 0.000 0.128 0.000
La 0.000 0.872 0.500
Tb 0.500 0.374 0.642
Tb 0.500 0.626 0.142
Co 0.000 0.362 0.354
Co 0.000 0.638 0.854
Co 0.500 0.165 0.295
Co 0.500 0.835 0.795